! CdFe2P (PBE, relaxed); values from VASP
&SYSTEM
  ibrav = 0, nat = 4, ntyp = 3
/
ATOMIC_SPECIES
Fe 55.84 Fe.upf
Cd 112.41 Cd.upf
P 30.97 P.upf
CELL_PARAMETERS angstrom
-4.2598 5.7905 -3.3097
-5.4405 3.5189 -4.5442
-6.3109 4.3502 -1.9694
ATOMIC_POSITIONS angstrom
Fe -15.7579 13.4434 -9.6679
Cd -12.0084 10.2447 -7.3675
P -4.0028 3.4149 -2.4558
Fe -8.2589 7.0459 -5.0671
! E above lowest polymorph, meV/atom: 135
! Electronic total energy, eV/atom: -5.710

! AlAsF (PBE, relaxed); values from VASP
&SYSTEM
  ibrav = 0, nat = 6, ntyp = 3
/
ATOMIC_SPECIES
Al 26.98 Al.upf
As 74.92 As.upf
F 19.00 F.upf
CELL_PARAMETERS angstrom
-2.2441 1.4745 -0.8675
2.1038 -0.7188 -6.6654
-1.1513 -6.2520 -3.0608
ATOMIC_POSITIONS angstrom
Al -1.4584 -1.9837 -4.2067
As -1.2093 -4.5569 -4.6068
F -0.3683 -2.1262 -2.6823
F -0.9232 -3.3700 -7.9113
As -0.0823 -0.9393 -5.9869
Al 0.1668 -3.5125 -6.3870
! Formation energy from raw total energies, eV/atom: -1.41
! Electronic total energy, eV/atom: -4.835

! La5Nd4Cd2 (PBE, relaxed); values from VASP
&SYSTEM
  ibrav = 0, nat = 11, ntyp = 3
/
ATOMIC_SPECIES
Nd 144.24 Nd.upf
La 138.91 La.upf
Cd 112.41 Cd.upf
CELL_PARAMETERS angstrom
3.6189 0.0000 0.0000
0.0000 8.8438 -0.1403
0.0000 -1.0301 11.4984
ATOMIC_POSITIONS angstrom
Nd 1.8095 7.2850 1.4389
Nd 1.8095 0.5286 9.9192
Nd 1.8095 6.0534 6.2423
La 0.0000 1.5493 1.7903
Nd 1.8095 1.7603 5.1158
La 0.0000 4.5023 3.3658
La 0.0000 4.4219 -0.0701
La 0.0000 3.3114 7.9923
Cd 0.0000 -0.0945 7.2370
La 0.0000 6.2644 9.5679
Cd 0.0000 7.9082 4.1211
! E above lowest polymorph, meV/atom: 63
! Electronic total energy, eV/atom: -4.176

! Cu9Ni2Pd (PBE, relaxed); values from VASP
&SYSTEM
  ibrav = 0, nat = 12, ntyp = 3
/
ATOMIC_SPECIES
Cu 63.55 Cu.upf
Ni 58.69 Ni.upf
Pd 106.42 Pd.upf
CELL_PARAMETERS angstrom
-2.9888 -2.0220 -0.4936
1.9086 -2.3182 -2.0610
2.4758 -5.8162 8.8345
ATOMIC_POSITIONS angstrom
Cu 0.5458 -5.8040 7.0336
Cu 0.2970 -4.1366 1.7098
Cu -0.5401 -2.1701 -1.2773
Cu 1.3899 -2.1823 0.5237
Cu -0.2565 -3.9191 4.1705
Cu 1.0986 -6.0197 4.5701
Cu 2.1922 -4.0672 3.3868
Cu 2.9945 -5.9521 6.2498
Ni 1.6392 -3.8509 5.8492
Ni 0.8366 -1.9654 2.9853
Cu -1.0588 -2.0342 1.3074
Pd 0.0000 0.0000 0.0000
! Electronic total energy, eV/atom: -4.493

! Ho6Tm2In (PBE, relaxed); values from VASP
&SYSTEM
  ibrav = 0, nat = 9, ntyp = 3
/
ATOMIC_SPECIES
Ho 164.93 Ho.upf
Tm 168.93 Tm.upf
In 114.82 In.upf
CELL_PARAMETERS angstrom
3.4756 0.0000 0.1672
0.0000 9.2822 0.0000
-0.4316 -4.6411 8.6031
ATOMIC_POSITIONS angstrom
Ho 3.3328 1.6344 2.9684
Tm 1.4680 0.0000 5.5582
Ho -0.2889 3.0067 5.8020
Ho -0.2889 -3.0067 5.8020
Ho 3.3328 7.6477 2.9684
Tm 1.5759 4.6411 3.2122
Ho 1.7378 6.4502 0.0836
In 0.0000 0.0000 0.0000
Ho 1.7378 2.8320 0.0836
! E above lowest polymorph, meV/atom: 24
! Electronic total energy, eV/atom: -4.320

! Ni3GeP (PBE, relaxed); values from VASP
&SYSTEM
  ibrav = 0, nat = 5, ntyp = 3
/
ATOMIC_SPECIES
Ni 58.69 Ni.upf
Ge 72.64 Ge.upf
P 30.97 P.upf
CELL_PARAMETERS angstrom
-2.5460 0.5266 3.2942
2.7510 -2.0128 2.4478
1.8872 3.6445 0.8760
ATOMIC_POSITIONS angstrom
Ni -1.2730 0.2633 1.6471
Ni 1.3755 -1.0064 1.2239
Ni 0.9436 1.8223 0.4380
Ge 1.0461 1.0791 3.3090
P 0.0000 0.0000 0.0000
! E above lowest polymorph, meV/atom: 398
! Electronic total energy, eV/atom: -5.422

! ScUGeO6 (PBE, relaxed); values from VASP
&SYSTEM
  ibrav = 0, nat = 18, ntyp = 4
/
ATOMIC_SPECIES
Ge 72.64 Ge.upf
O 16.00 O.upf
Sc 44.96 Sc.upf
U 238.03 U.upf
CELL_PARAMETERS angstrom
-1.8406 -5.0221 0.1983
1.4003 2.5172 4.5113
-8.1201 3.0092 0.8414
ATOMIC_POSITIONS angstrom
Ge 0.0000 0.0000 0.0000
O -1.3001 -1.3450 3.3490
O -6.4621 -2.3538 2.1246
O -2.9267 0.1952 4.9551
Sc -6.8504 -0.2521 2.2671
O -0.1753 1.3217 4.6672
O -3.1934 0.3605 1.7904
O -5.3670 0.1438 3.7607
U -2.7903 -1.7567 1.8463
O -7.2603 1.8493 2.2021
O -0.5662 1.1480 1.5158
O -2.0983 2.8581 3.4265
Ge -4.0601 1.5046 0.4207
O -8.3851 -0.8174 0.8839
O -5.6337 0.3091 0.5959
U -5.7701 2.2610 3.7047
Sc -1.7100 0.7564 3.2840
O -7.9942 -0.6437 4.0353
! Formation energy from raw total energies, eV/atom: -2.54
! Electronic total energy, eV/atom: -8.317

! Tl2AgHgH (PBE, relaxed); values from VASP
&SYSTEM
  ibrav = 0, nat = 5, ntyp = 4
/
ATOMIC_SPECIES
Hg 200.59 Hg.upf
H 1.01 H.upf
Tl 204.38 Tl.upf
Ag 107.87 Ag.upf
CELL_PARAMETERS angstrom
5.7394 0.0000 0.0000
0.0000 5.7394 0.0000
0.0000 0.0000 3.5497
ATOMIC_POSITIONS angstrom
Hg 2.8697 2.8697 1.7748
H 0.0000 0.0000 0.0000
Tl 2.8697 0.0000 0.0000
Tl 0.0000 2.8697 0.0000
Ag 0.0000 0.0000 1.7748
! E above lowest polymorph, meV/atom: 0
! Electronic total energy, eV/atom: -2.106

! Na2ZrAs2 (PBE, relaxed); values from VASP
&SYSTEM
  ibrav = 0, nat = 10, ntyp = 3
/
ATOMIC_SPECIES
As 74.92 As.upf
Zr 91.22 Zr.upf
Na 22.99 Na.upf
CELL_PARAMETERS angstrom
-5.5530 -5.5104 -1.9146
1.9671 0.7197 -7.7768
2.1918 -2.3266 0.3391
ATOMIC_POSITIONS angstrom
As -0.4121 -0.7964 -2.8005
As -0.1439 -1.1464 -6.9355
As -3.4420 -3.6443 -2.7559
As -3.1738 -3.9943 -6.8909
Zr 0.0000 0.0000 0.0000
Zr -1.7929 -2.3953 -4.8457
Na -3.0556 -5.7555 -4.5040
Na 1.6616 -1.3617 -4.8483
Na -0.8042 -3.1924 -1.4709
Na -0.5898 -3.9248 -7.8814
! Electronic total energy, eV/atom: -4.345

! Th5Os2Pb (PBE, relaxed); values from VASP
&SYSTEM
  ibrav = 0, nat = 16, ntyp = 3
/
ATOMIC_SPECIES
Th 232.04 Th.upf
Pb 207.20 Pb.upf
Os 190.23 Os.upf
CELL_PARAMETERS angstrom
7.2615 0.0000 -3.4278
-1.6181 7.0789 -3.4278
-0.1977 -0.2480 8.9865
ATOMIC_POSITIONS angstrom
Th 1.3357 -0.0042 5.7978
Th 0.7777 5.5298 -1.3209
Pb 1.3120 1.6457 2.7794
Th 4.1100 6.8352 -3.6669
Pb 4.1337 5.1852 -0.6485
Th 4.6680 1.3012 3.4518
Os 0.4453 2.5395 -1.7139
Th 0.0000 0.0000 0.0000
Os 1.2154 6.0789 -4.1733
Th 2.8217 3.5395 -3.4278
Th -0.8124 3.5352 4.7160
Th 2.5199 4.8406 2.3700
Th 6.2581 3.2957 -2.5851
Os 5.1981 4.5395 -5.1417
Th 2.9258 1.9903 -0.2391
Os 4.4280 1.0000 -2.6824
! Electronic total energy, eV/atom: -8.240

! KOs4Rh (PBE, relaxed); values from VASP
&SYSTEM
  ibrav = 0, nat = 6, ntyp = 3
/
ATOMIC_SPECIES
K 39.10 K.upf
Os 190.23 Os.upf
Rh 102.91 Rh.upf
CELL_PARAMETERS angstrom
-1.9746 1.3808 4.6688
0.7481 4.8664 1.8333
-4.0318 3.3588 0.2576
ATOMIC_POSITIONS angstrom
K 0.0000 0.0000 0.0000
Os -3.9801 5.2790 2.6677
Rh -3.9437 7.2045 5.0697
Os -2.9573 4.2955 4.8609
Os -1.6036 6.0286 3.4511
Os -1.9755 3.6090 2.5396
! Electronic total energy, eV/atom: -7.743

! CdGaAu (PBE, relaxed); values from VASP
&SYSTEM
  ibrav = 0, nat = 3, ntyp = 3
/
ATOMIC_SPECIES
Au 196.97 Au.upf
Cd 112.41 Cd.upf
Ga 69.72 Ga.upf
CELL_PARAMETERS angstrom
-0.0802 -2.0759 2.7257
4.2202 -1.2862 -0.8554
-0.7754 3.5325 2.6676
ATOMIC_POSITIONS angstrom
Au 0.8764 1.5813 1.9461
Cd 2.5015 -1.0629 2.1346
Ga -0.0134 -0.3481 0.4571
! Electronic total energy, eV/atom: -2.494

- Which of these has the highest electronic total energy?
  Tl2AgHgH